Entry 1:
This record from Alexandria via LeMat-Bulk describes a relaxed La5AlTe4 crystal. The functional is PBE.

Cell lengths 7.936, 7.936, 7.936 Å; angles 99.54, 99.54, 131.95 degrees
Sites, in units of the cell vectors:
La  0.000  0.000  0.000
La  0.208  0.598  0.806
La  0.402  0.208  0.611
La  0.598  0.792  0.389
La  0.792  0.402  0.194
Al  0.500  0.500  0.000
Te  0.097  0.302  0.399
Te  0.302  0.903  0.205
Te  0.698  0.097  0.795
Te  0.903  0.698  0.601

Formation energy (no corrections) = -13.4 eV/f.u.
N(E_F) = 4.845 states/eV per cell
Total magnetization = 0.000 μB/atom
Electronic total energy = -54.32 eV/cell
Space group = I4/m, No. 87

Entry 2:
This record from Alexandria via LeMat-Bulk describes a relaxed LaAl2Te4 crystal. The functional is PBE.

Cell lengths 6.822, 6.822, 6.822 Å; angles 104.63, 104.63, 119.67 degrees
Sites, in units of the cell vectors:
La  0.000  0.000  0.000
Al  0.250  0.750  0.500
Al  0.750  0.250  0.500
Te  0.191  0.660  0.851
Te  0.340  0.191  0.531
Te  0.660  0.809  0.469
Te  0.809  0.340  0.149

Formation energy (no corrections) = -4.1 eV/f.u.
N(E_F) = 7.017 states/eV per cell
Total magnetization = 0.075 μB/atom
Electronic total energy = -29.11 eV/cell
Space group = I4/m, No. 87

Entry 3:
This record from Alexandria via LeMat-Bulk describes a relaxed LaAl2Te crystal. The functional is PBE.

Cell lengths 3.803, 5.298, 5.310 Å; angles 90.00, 90.18, 90.00 degrees
Sites, in units of the cell vectors:
La  0.000  0.000  0.000
Al  0.469  0.500  0.757
Al  0.531  0.500  0.243
Te  0.500  0.000  0.500

Formation energy (no corrections) = -1.3 eV/f.u.
N(E_F) = 2.631 states/eV per cell
Total magnetization = 0.000 μB/atom
Electronic total energy = -16.83 eV/cell
Space group = P2/m, No. 10

Entry 4:
This record from Alexandria via LeMat-Bulk describes a relaxed LaAlTe3 crystal. The functional is PBE.

Cell lengths 6.167, 6.167, 6.167 Å; angles 90.00, 90.00, 90.00 degrees
Sites, in units of the cell vectors:
La  0.000  0.000  0.000
Al  0.500  0.500  0.500
Te  0.000  0.000  0.500
Te  0.000  0.500  0.000
Te  0.500  0.000  0.000

Formation energy (no corrections) = -0.4 eV/f.u.
N(E_F) = 8.418 states/eV per cell
Total magnetization = 0.000 μB/atom
Energy above the most stable polymorph in this dataset = 0.884 eV per atom
Electronic total energy = -18.46 eV/cell
Space group = Pm-3m, No. 221

Entry 5:
This record from Alexandria via LeMat-Bulk describes a relaxed LaAl2Te crystal. The functional is PBE.

Cell lengths 5.790, 5.790, 5.790 Å; angles 134.56, 131.84, 68.37 degrees
Sites, in units of the cell vectors:
La  0.000  0.000  0.000
Al  0.549  0.549  0.000
Al  0.751  0.251  0.500
Te  0.254  0.754  0.500

Formation energy (no corrections) = -1.7 eV/f.u.
N(E_F) = 1.879 states/eV per cell
Total magnetization = 0.000 μB/atom
Electronic total energy = -17.28 eV/cell
Space group = Imm2, No. 44

Entry 6:
This record from Alexandria via LeMat-Bulk describes a relaxed LaAl2Te crystal. The functional is PBE.

Cell lengths 9.212, 9.212, 9.212 Å; angles 23.64, 23.64, 23.64 degrees
Sites, in units of the cell vectors:
La  0.000  0.000  0.000
Al  0.237  0.237  0.237
Al  0.763  0.763  0.763
Te  0.500  0.500  0.500

Formation energy (no corrections) = -0.1 eV/f.u.
N(E_F) = 3.562 states/eV per cell
Total magnetization = 0.000 μB/atom
Electronic total energy = -15.68 eV/cell
Space group = R-3m, No. 166